# GGA-PBE TmTe2PSe2, relaxed
# Spin magnetization, Bohr magnetons per cell: 0.008
# Final energy, eV/atom: -4.48
# V, Å³ per cell: 388
# Calculated density, g/cm3: 5.25
data_TmTe2PSe2
_cell_length_a 6.8418
_cell_length_b 7.3040
_cell_length_c 7.8153
_cell_angle_alpha 86.73
_cell_angle_beta 87.10
_cell_angle_gamma 85.00
_space_group_name_H-M_alt 'P -1'
_space_group_IT_number 2
_space_group_name_Hall '-P 1'
loop_
_atom_site_label
_atom_site_type_symbol
_atom_site_fract_x
_atom_site_fract_y
_atom_site_fract_z
Tm1 Tm 0.1995 0.1976 0.0556
Te1 Te 0.0974 0.5076 0.7584
Te2 Te 0.3764 0.7765 0.1224
P1 P 0.3090 0.7560 0.8136
Se1 Se 0.0936 0.0054 0.7589
Se2 Se 0.4152 0.2504 0.3443